VASP calculation (PBE with a Hubbard U) on a relaxed VZnF5 crystal.

Properties
- D(E_F) (states/eV/f.u.) = 0.00
- DFT total energy (eV/atom) = -5.1752
- spin magnetization (μB per atom) = 0.2857
- excess energy over the best structure of this formula in the dataset (kJ/mol of atoms) = 0.77

Cell: 5.176 9.881 7.647 Å, 90.00 109.49 90.00°
Space group P2_1/c (No. 14)
Asymmetric unit:
V 0.100 0.242 0.374 x4
Zn 0.480 0.010 0.771 x4
F 0.142 0.595 0.235 x4
F 0.143 0.181 0.636 x4
F 0.219 0.641 0.663 x4
F 0.351 0.109 0.984 x4
F 0.402 0.116 0.396 x4